1.
The following is a DFT calculation (PBE-GGA) of ZrB2Ru after structural relaxation.

Unit cell a=4.8975 b=4.8975 c=4.8975 alpha=42.58 beta=42.58 gamma=42.58
Fractional positions:
Zr (0.0000, 0.0000, 0.0000)
B (0.2206, 0.2206, 0.2206)
B (0.7794, 0.7794, 0.7794)
Ru (0.5000, 0.5000, 0.5000)

Calculated values
Its density of states at the Fermi level is 0.51 states/eV/atom. The value obtained for the formation energy from the elements is -0.390 eV per atom. The calculation puts the mass density at 7.294 g/cm3. The calculation puts the energy above the lowest structure with this stoichiometry at 0 meV per atom.



2.
The following is a DFT calculation (PBE-GGA) of PdRhSeBr2 after structural relaxation.

Unit cell a=5.1987 b=5.1987 c=4.6544 alpha=90.00 beta=90.00 gamma=90.00
Fractional positions:
Pd (0.0000, 0.0000, 0.0000)
Rh (0.5000, 0.5000, 0.5000)
Se (0.5000, 0.5000, 0.0000)
Br (0.0000, 0.5000, 0.5000)
Br (0.5000, 0.0000, 0.5000)

Calculated values
Its density of states at the Fermi level is 2.18 states/eV/atom. The calculation puts the mass density at 5.915 g/cm3. The calculation puts the energy above the lowest structure with this stoichiometry at 0 meV per atom. The calculation puts the raw formation energy at 0.43 eV/atom.



3.
The following is a DFT calculation (PBE-GGA) of Ni7Sn8 after structural relaxation.

Unit cell a=5.2500 b=4.0946 c=12.5038 alpha=90.00 beta=100.86 gamma=90.00
Fractional positions:
Ni (0.0000, 0.0000, 0.0000)
Ni (0.0000, 0.5000, 0.5000)
Ni (0.1238, 0.0000, 0.7928)
Ni (0.3730, 0.5000, 0.7199)
Ni (0.5000, 0.5000, 0.5000)
Ni (0.6270, 0.5000, 0.2801)
Ni (0.8762, 0.0000, 0.2072)
Sn (0.1479, 0.5000, 0.3163)
Sn (0.2375, 0.5000, 0.9310)
Sn (0.2789, 0.0000, 0.5807)
Sn (0.3610, 0.0000, 0.1674)
Sn (0.6390, 0.0000, 0.8326)
Sn (0.7211, 0.0000, 0.4193)
Sn (0.7625, 0.5000, 0.0690)
Sn (0.8521, 0.5000, 0.6837)

Calculated values
Its density of states at the Fermi level is 0.45 states/eV/atom. The value obtained for the formation energy from the elements is -0.230 eV per atom. The calculation puts the mass density at 8.558 g/cm3.



4.
The following is a DFT calculation (PBE-GGA) of Pm3N2O after structural relaxation.

Unit cell a=6.2100 b=6.2100 c=6.2100 alpha=146.46 beta=131.74 gamma=60.05
Fractional positions:
Pm (0.0000, 0.0000, 0.0000)
Pm (0.3289, 0.3289, 0.0000)
Pm (0.6711, 0.6711, 0.0000)
N (0.1680, 0.6680, 0.5000)
N (0.8320, 0.3320, 0.5000)
O (0.5000, 0.0000, 0.5000)

Calculated values
Its density of states at the Fermi level is 0.24 states/eV/atom. The calculation puts the mass density at 8.130 g/cm3. The calculation puts the raw formation energy at -1.97 eV/atom.



5.
The following is a DFT calculation (PBE-GGA) of Nd2Sm3Ho7 after structural relaxation.

Unit cell a=5.8260 b=3.5821 c=18.8442 alpha=90.00 beta=93.26 gamma=90.00
Fractional positions:
Nd (0.2087, 0.0000, 0.2925)
Nd (0.7913, 0.0000, 0.7075)
Sm (0.0000, 0.0000, 0.0000)
Sm (0.2779, 0.5000, 0.6310)
Sm (0.7221, 0.5000, 0.3690)
Ho (0.1875, 0.5000, 0.1418)
Ho (0.2423, 0.0000, 0.4619)
Ho (0.3106, 0.0000, 0.8277)
Ho (0.5000, 0.5000, 0.0000)
Ho (0.6894, 0.0000, 0.1723)
Ho (0.7577, 0.0000, 0.5381)
Ho (0.8125, 0.5000, 0.8582)

Calculated values
Its density of states at the Fermi level is 1.22 states/eV/atom. The value obtained for the formation energy from the elements is 0.087 eV per atom. The calculation puts the mass density at 8.011 g/cm3. The calculation puts the energy above the lowest structure with this stoichiometry at 3 meV per atom.



6.
The following is a DFT calculation (PBE-GGA) of CsCu2Ni2 after structural relaxation.

Unit cell a=6.7878 b=6.7878 c=6.7878 alpha=141.84 beta=141.84 gamma=55.07
Fractional positions:
Cs (0.0000, 0.0000, 0.0000)
Cu (0.3070, 0.3070, 0.0000)
Cu (0.6930, 0.6930, 0.0000)
Ni (0.2500, 0.7500, 0.5000)
Ni (0.7500, 0.2500, 0.5000)

Calculated values
Its density of states at the Fermi level is 1.29 states/eV/atom. The value obtained for the formation energy from the elements is 0.613 eV per atom. The calculation puts the mass density at 5.287 g/cm3.



7.
The following is a DFT calculation (PBE-GGA) of Ac12Au3O5 after structural relaxation.

Unit cell a=14.7083 b=14.7083 c=14.7083 alpha=109.47 beta=109.47 gamma=109.47
Fractional positions:
Ac (0.0167, 0.2039, 0.1132)
Ac (0.0167, 0.3128, 0.9035)
Ac (0.0907, 0.7039, 0.6872)
Ac (0.0907, 0.8868, 0.4035)
Ac (0.0965, 0.6132, 0.4093)
Ac (0.0965, 0.9833, 0.6872)
Ac (0.1132, 0.0167, 0.2039)
Ac (0.1132, 0.5965, 0.9093)
Ac (0.1872, 0.2039, 0.5907)
Ac (0.1872, 0.4833, 0.5965)
Ac (0.2039, 0.1132, 0.0167)
Ac (0.2039, 0.5907, 0.1872)
Ac (0.2961, 0.3128, 0.9093)
Ac (0.2961, 0.4833, 0.3868)
Ac (0.3128, 0.9035, 0.0167)
Ac (0.3128, 0.9093, 0.2961)
Ac (0.3868, 0.2961, 0.4833)
Ac (0.3868, 0.5907, 0.9035)
Ac (0.4035, 0.0907, 0.8868)
Ac (0.4035, 0.8128, 0.5167)
Ac (0.4093, 0.0965, 0.6132)
Ac (0.4093, 0.8128, 0.7961)
Ac (0.4833, 0.3868, 0.2961)
Ac (0.4833, 0.5965, 0.1872)
Ac (0.5167, 0.4035, 0.8128)
Ac (0.5167, 0.6132, 0.7039)
Ac (0.5907, 0.1872, 0.2039)
Ac (0.5907, 0.9035, 0.3868)
Ac (0.5965, 0.1872, 0.4833)
Ac (0.5965, 0.9093, 0.1132)
Ac (0.6132, 0.4093, 0.0965)
Ac (0.6132, 0.7039, 0.5167)
Ac (0.6872, 0.0907, 0.7039)
Ac (0.6872, 0.0965, 0.9833)
Ac (0.7039, 0.5167, 0.6132)
Ac (0.7039, 0.6872, 0.0907)
Ac (0.7961, 0.4093, 0.8128)
Ac (0.7961, 0.8868, 0.9833)
Ac (0.8128, 0.5167, 0.4035)
Ac (0.8128, 0.7961, 0.4093)
Ac (0.8868, 0.4035, 0.0907)
Ac (0.8868, 0.9833, 0.7961)
Ac (0.9035, 0.0167, 0.3128)
Ac (0.9035, 0.3868, 0.5907)
Ac (0.9093, 0.1132, 0.5965)
Ac (0.9093, 0.2961, 0.3128)
Ac (0.9833, 0.6872, 0.0965)
Ac (0.9833, 0.7961, 0.8868)
Au (0.1250, 0.2500, 0.3750)
Au (0.1250, 0.3750, 0.7500)
Au (0.2500, 0.3750, 0.1250)
Au (0.2500, 0.8750, 0.6250)
Au (0.3750, 0.1250, 0.2500)
Au (0.3750, 0.7500, 0.1250)
Au (0.6250, 0.2500, 0.8750)
Au (0.6250, 0.8750, 0.7500)
Au (0.7500, 0.1250, 0.3750)
Au (0.7500, 0.6250, 0.8750)
Au (0.8750, 0.6250, 0.2500)
Au (0.8750, 0.7500, 0.6250)
O (0.0000, 0.0000, 0.0000)
O (0.0000, 0.0000, 0.5000)
O (0.0000, 0.5000, 0.0000)
O (0.0000, 0.5000, 0.5000)
O (0.1250, 0.7500, 0.8750)
O (0.1250, 0.8750, 0.2500)
O (0.2500, 0.1250, 0.8750)
O (0.2500, 0.6250, 0.3750)
O (0.3750, 0.2500, 0.6250)
O (0.3750, 0.6250, 0.7500)
O (0.5000, 0.0000, 0.0000)
O (0.5000, 0.0000, 0.5000)
O (0.5000, 0.5000, 0.0000)
O (0.5000, 0.5000, 0.5000)
O (0.6250, 0.3750, 0.2500)
O (0.6250, 0.7500, 0.3750)
O (0.7500, 0.3750, 0.6250)
O (0.7500, 0.8750, 0.1250)
O (0.8750, 0.1250, 0.7500)
O (0.8750, 0.2500, 0.1250)

Calculated values
Its density of states at the Fermi level is 0.86 states/eV/atom. The calculation puts the mass density at 9.206 g/cm3. The calculation puts the raw formation energy at -1.51 eV/atom.



8.
The following is a DFT calculation (PBE-GGA) of ZnCd2Ag5Au after structural relaxation.

Unit cell a=6.7266 b=6.7266 c=12.8557 alpha=90.00 beta=90.00 gamma=145.69
Fractional positions:
Zn (0.2416, 0.7584, 0.5000)
Zn (0.7584, 0.2416, 0.0000)
Cd (0.0853, 0.9147, 0.3252)
Cd (0.0847, 0.9153, 0.9956)
Cd (0.9153, 0.0847, 0.4956)
Cd (0.9147, 0.0853, 0.8252)
Ag (0.0846, 0.9154, 0.6631)
Ag (0.2483, 0.7517, 0.8328)
Ag (0.2513, 0.7487, 0.1592)
Ag (0.4145, 0.5855, 0.3285)
Ag (0.4152, 0.5848, 0.6588)
Ag (0.5848, 0.4152, 0.1588)
Ag (0.5855, 0.4145, 0.8285)
Ag (0.7487, 0.2513, 0.6592)
Ag (0.7517, 0.2483, 0.3328)
Ag (0.9154, 0.0846, 0.1631)
Au (0.4108, 0.5892, 0.9951)
Au (0.5892, 0.4108, 0.4951)

Calculated values
Its density of states at the Fermi level is 0.17 states/eV/atom. The value obtained for the formation energy from the elements is -0.060 eV per atom. The calculation puts the mass density at 10.398 g/cm3.



9.
The following is a DFT calculation (PBE-GGA) of Nd2Cu3Hg after structural relaxation.

Unit cell a=8.7841 b=8.7841 c=8.7841 alpha=153.72 beta=153.71 gamma=37.52
Fractional positions:
Nd (0.0000, 0.0000, 0.0000)
Nd (0.7750, 0.2750, 0.5000)
Cu (0.2022, 0.7022, 0.5000)
Cu (0.3494, 0.8494, 0.5000)
Cu (0.4326, 0.4326, 0.0000)
Hg (0.6003, 0.6003, 0.0000)

Calculated values
Its density of states at the Fermi level is 0.44 states/eV/atom. The value obtained for the formation energy from the elements is -0.229 eV per atom. The calculation puts the mass density at 8.504 g/cm3. The calculation puts the energy above the lowest structure with this stoichiometry at 7 meV per atom.



10.
The following is a DFT calculation (PBE-GGA) of FeSiAs2 after structural relaxation.

Unit cell a=4.8304 b=4.8304 c=2.7330 alpha=90.00 beta=90.00 gamma=90.00
Fractional positions:
Fe (0.0000, 0.0000, 0.0000)
Si (0.5000, 0.5000, 0.0000)
As (0.0000, 0.5000, 0.5000)
As (0.5000, 0.0000, 0.5000)

Calculated values
Its density of states at the Fermi level is 0.78 states/eV/atom. The calculation puts the mass density at 6.088 g/cm3. The calculation puts the raw formation energy at 0.46 eV/atom.



11.
The following is a DFT calculation (PBE-GGA) of SrTeSeN2 after structural relaxation.

Unit cell a=4.2039 b=4.2039 c=5.5975 alpha=90.00 beta=90.00 gamma=90.00
Fractional positions:
Sr (0.0000, 0.0000, 0.0000)
Te (0.5000, 0.5000, 0.5000)
Se (0.5000, 0.5000, 0.0000)
N (0.0000, 0.5000, 0.5000)
N (0.5000, 0.0000, 0.5000)

Calculated values
Its density of states at the Fermi level is 0.48 states/eV/atom. The calculation puts the mass density at 5.409 g/cm3. The calculation puts the energy above the lowest structure with this stoichiometry at 0 meV per atom. The calculation puts the raw formation energy at 0.41 eV/atom.



12.
The following is a DFT calculation (PBE-GGA) of TiS2Br after structural relaxation.

Unit cell a=8.0244 b=8.0244 c=8.0244 alpha=25.53 beta=25.53 gamma=25.53
Fractional positions:
Ti (0.0000, 0.0000, 0.0000)
S (0.3921, 0.3921, 0.3921)
S (0.6079, 0.6079, 0.6079)
Br (0.5000, 0.5000, 0.5000)

Calculated values
Its density of states at the Fermi level is 0.59 states/eV/atom. The calculation puts the mass density at 3.773 g/cm3. The calculation puts the energy above the lowest structure with this stoichiometry at 0 meV per atom. The calculation puts the raw formation energy at -0.81 eV/atom.



Which formula does entry 4 have? Pm3N2O



Among the records above, which one has the highest density of states at the Fermi level? PdRhSeBr2



Which value of density of states at the Fermi level does entry 6 give? 1.29 states/eV/atom



What is the density of states at the Fermi level in the first record? 0.51 states/eV/atom